This record from Alexandria via LeMat-Bulk describes a relaxed structure of K2PdBrCl3. The functional is GGA-PBE.

Calculated values
ΔE_f (raw) = -1321 meV per atom
calculated total energy = -3.407 eV/atom

a b c (Å): 4.238 7.249 7.249
angles (deg): 93.20 90.00 90.00
Atoms (fractional coordinates):
K (0.000, 0.239, 0.761)
K (0.000, 0.761, 0.239)
Pd (0.500, 0.252, 0.252)
Br (0.500, 0.498, 0.498)
Cl (0.500, 0.015, 0.015)
Cl (0.500, 0.029, 0.473)
Cl (0.500, 0.473, 0.029)